The following is a DFT calculation (PBE) of SiHg2Ir after structural relaxation.

a b c (Å): 6.6441 6.6441 6.6441
angles (deg): 90.00 90.00 90.00
Closest atoms and distances in Å follow each position.
Space group F-43m (No. 216)
Inequivalent atoms, fractional coordinates:
Si (0.0000, 0.0000, 0.0000) (multiplicity 4)  4 Hg 2.88, 4 Ir 2.88
Hg (0.0000, 0.0000, 0.5000) (multiplicity 4)  4 Hg 2.88, 4 Ir 2.88
Hg (0.2500, 0.2500, 0.7500) (multiplicity 4)  4 Hg 2.88, 4 Si 2.88
Ir (0.2500, 0.2500, 0.2500) (multiplicity 4)  4 Hg 2.88, 4 Si 2.88

Crystal system: cubic
VASP energy in eV/atom: -3.1265

The following is a DFT calculation (PBE) of Pm4NiCl5 after structural relaxation.

a b c (Å): 18.2551 3.9543 8.3610
angles (deg): 90.00 105.21 90.00
Closest atoms and distances in Å follow each position.
Space group C2/m (No. 12)
Inequivalent atoms, fractional coordinates:
Pm (0.0011, 0.0000, 0.2757) (multiplicity 4)  2 Ni 2.73, 4 Cl 2.95-3.03
Pm (0.1543, 0.5000, 0.5992) (multiplicity 4)  1 Ni 2.72, 4 Cl 2.82-2.90
Ni (0.0000, 0.5000, 0.5000) (multiplicity 2)  6 Pm 2.72-2.73
Cl (0.0000, 0.5000, 0.0000) (multiplicity 2)  4 Pm 3.03
Cl (0.1657, 0.0000, 0.8450) (multiplicity 4)  3 Pm 2.82-2.95
Cl (0.1728, 0.0000, 0.3594) (multiplicity 4)  4 Pm 2.90-3.08

Crystal system: monoclinic
VASP energy in eV/atom: -4.9864

The following is a DFT calculation (PBE) of YHfCoPb after structural relaxation.

a b c (Å): 6.9478 6.9478 6.9478
angles (deg): 90.00 90.00 90.00
Closest atoms and distances in Å follow each position.
Space group F-43m (No. 216)
Inequivalent atoms, fractional coordinates:
Y (0.0000, 0.0000, 0.0000) (multiplicity 4)  4 Pb 3.01, 4 Hf 3.01
Hf (0.2500, 0.2500, 0.7500) (multiplicity 4)  4 Co 3.01, 4 Y 3.01
Co (0.0000, 0.0000, 0.5000) (multiplicity 4)  4 Hf 3.01, 4 Pb 3.01
Pb (0.2500, 0.2500, 0.2500) (multiplicity 4)  4 Co 3.01, 4 Y 3.01

Crystal system: cubic
Energy above the most stable polymorph in this dataset in eV/f.u.: 0.000

The following is a DFT calculation (PBE) of CsNbCuTeSe2 after structural relaxation.

a b c (Å): 3.8290 17.1026 10.4381
angles (deg): 90.00 90.00 90.00
Closest atoms and distances in Å follow each position.
Space group Cmcm (No. 63)
Inequivalent atoms, fractional coordinates:
Cs (0.0000, 0.2333, 0.2500) (multiplicity 4)  4 Se 3.57, 2 Cs 3.83, 2 Te 3.83, 2 Cu 3.96
Nb (0.0000, 0.0000, 0.0000) (multiplicity 4)  4 Se 2.67, 2 Te 2.89
Cu (0.0000, 0.4695, 0.7500) (multiplicity 4)  2 Se 2.40, 2 Te 2.60
Te (0.0000, 0.0726, 0.7500) (multiplicity 4)  2 Cu 2.60, 2 Nb 2.89
Se (0.0000, 0.3963, 0.5541) (multiplicity 8)  1 Cu 2.40, 2 Nb 2.67

Crystal system: orthorhombic
VASP energy in eV/atom: -4.7873

The following is a DFT calculation (PBE) of ScNiHgB after structural relaxation.

a b c (Å): 6.1868 6.1868 6.1868
angles (deg): 90.00 90.00 90.00
Closest atoms and distances in Å follow each position.
Space group F-43m (No. 216)
Inequivalent atoms, fractional coordinates:
Sc (0.0000, 0.0000, 0.0000) (multiplicity 4)  4 Hg 2.68, 4 B 2.68
Ni (0.0000, 0.0000, 0.5000) (multiplicity 4)  4 Hg 2.68, 4 B 2.68
Hg (0.2500, 0.2500, 0.7500) (multiplicity 4)  4 Ni 2.68, 4 Sc 2.68
B (0.2500, 0.2500, 0.2500) (multiplicity 4)  4 Ni 2.68, 4 Sc 2.68

Crystal system: cubic
Energy above the most stable polymorph in this dataset in eV/f.u.: 0.098

The following is a DFT calculation (PBE) of Sn5Au4 after structural relaxation.

a b c (Å): 5.6418 5.6418 8.2407
angles (deg): 90.00 90.00 120.00
Closest atoms and distances in Å follow each position.
Space group P6/mmm (No. 191)
Inequivalent atoms, fractional coordinates:
Sn (0.0000, 0.0000, 0.0000) (multiplicity 1)  6 Au 2.82
Sn (0.3333, 0.6667, 0.3151) (multiplicity 4)  4 Sn 3.05-3.26, 3 Au 3.07
Au (0.0000, 0.0000, 0.5000) (multiplicity 1)  12 Sn 3.60
Au (0.0000, 0.5000, 0.0000) (multiplicity 3)  6 Sn 2.82-3.07, 4 Au 2.82

Crystal system: hexagonal
VASP energy in eV/atom: -3.5759

Please write out number 3 again, unchanged.
The following is a DFT calculation (PBE) of YHfCoPb after structural relaxation.

a b c (Å): 6.9478 6.9478 6.9478
angles (deg): 90.00 90.00 90.00
Closest atoms and distances in Å follow each position.
Space group F-43m (No. 216)
Inequivalent atoms, fractional coordinates:
Y (0.0000, 0.0000, 0.0000) (multiplicity 4)  4 Pb 3.01, 4 Hf 3.01
Hf (0.2500, 0.2500, 0.7500) (multiplicity 4)  4 Co 3.01, 4 Y 3.01
Co (0.0000, 0.0000, 0.5000) (multiplicity 4)  4 Hf 3.01, 4 Pb 3.01
Pb (0.2500, 0.2500, 0.2500) (multiplicity 4)  4 Co 3.01, 4 Y 3.01

Crystal system: cubic
Energy above the most stable polymorph in this dataset in eV/f.u.: 0.000